## CuPd5Au8 (PBE)

Data for an optimized crystal structure of CuPd5Au8.

Lattice parameters (Å, degrees): 6.861 6.861 6.861 109.73 108.95 109.73
Sites, in units of the cell vectors:
Pd 0.500 0.000 0.500
Pd 0.460 0.185 0.051
Pd 0.725 0.591 0.540
Pd 0.949 0.409 0.134
Pd 0.866 0.815 0.275
Au 0.236 0.232 0.341
Au 0.392 0.571 0.174
Au 0.659 0.894 0.890
Au 0.602 0.429 0.821
Au 0.110 0.768 0.004
Au 0.179 0.782 0.608
Au 0.826 0.218 0.398
Au 0.996 0.106 0.764
Cu 0.250 0.500 0.750

The size of the total moment comes out at 0.00 μB/cell. The total energy is -3.953 eV/atom.


## Cu5Pd5Au2 (PBE)

Data for an optimized crystal structure of Cu5Pd5Au2.

Lattice parameters (Å, degrees): 3.845 6.057 8.838 114.96 90.00 108.50
Sites, in units of the cell vectors:
Cu 0.000 0.000 0.000
Cu 0.752 0.503 0.747
Cu 0.248 0.497 0.253
Cu 0.830 0.660 0.503
Cu 0.170 0.340 0.497
Pd 0.662 0.324 0.001
Pd 0.595 0.189 0.258
Pd 0.405 0.811 0.742
Pd 0.500 0.000 0.500
Pd 0.338 0.676 0.999
Au 0.914 0.828 0.253
Au 0.086 0.172 0.747

The value obtained for the relative energy among the computed polymorphs is 0.003 eV/atom. The size of the total moment comes out at 0.00 μB/cell. The total energy is -4.508 eV/atom.


## CuPdAu5 (PBE)

Data for an optimized crystal structure of CuPdAu5.

Lattice parameters (Å, degrees): 4.876 4.876 5.738 90.00 90.00 108.55
Sites, in units of the cell vectors:
Au 0.000 0.000 0.500
Au 0.000 0.500 0.245
Au 0.500 0.000 0.755
Au 0.000 0.500 0.755
Au 0.500 0.000 0.245
Pd 0.000 0.000 0.000
Cu 0.500 0.500 0.500

The value obtained for the relative energy among the computed polymorphs is 0.000 eV/atom. The size of the total moment comes out at 0.00 μB/cell. The total energy is -3.630 eV/atom.


## CuPdAu5 (PBE)

Data for an optimized crystal structure of CuPdAu5.

Lattice parameters (Å, degrees): 5.331 7.299 6.364 125.00 114.76 90.00
Sites, in units of the cell vectors:
Pd 0.490 0.500 0.000
Au 0.756 0.790 0.580
Au 0.243 0.811 0.000
Au 0.974 0.500 0.000
Au 0.176 0.210 0.420
Au 0.243 0.189 0.000
Cu 0.650 0.000 0.000

The value obtained for the relative energy among the computed polymorphs is 0.504 eV/atom. The size of the total moment comes out at 0.00 μB/cell. The total energy is -3.126 eV/atom.